La2Pr4Nd | GGA-PBE | relaxed

Geometry as POSCAR:
```
La2Pr4Nd
1.0
2.620 1.513 11.528
-2.620 1.513 11.528
0.000 -3.026 11.528
La Pr Nd
2 4 1
Cartesian
0.000 0.000 3.329
0.000 0.000 31.255
0.000 0.000 6.859
0.000 0.000 13.077
0.000 0.000 21.506
0.000 0.000 27.725
0.000 0.000 0.000
```

Summary:
The calculation puts the formation enthalpy at 0 K at 62 kJ per mole of atoms. The calculation puts the density of states at the Fermi level at 1.556 states/eV per atom. For the total DFT energy (no corrections), the calculation gives -4.182 eV/atom. As for the crystal system: trigonal. Its relative energy among the computed polymorphs is 465 meV/atom. Its symmetry is No. 166.

La2Pr4Nd | GGA-PBE | relaxed

Geometry as POSCAR:
```
La2Pr4Nd
1.0
7.152 0.000 0.000
2.078 6.852 0.000
0.000 0.001 10.772
La Pr Nd
4 8 2
Cartesian
0.000 0.000 0.000
0.000 0.001 5.386
1.039 3.426 0.000
3.576 0.000 0.000
3.354 4.716 8.423
2.331 1.295 7.693
3.367 4.710 2.342
2.346 1.287 3.089
6.884 5.566 7.683
5.863 2.144 8.430
6.900 5.559 3.079
5.877 2.137 2.349
1.039 3.427 5.386
4.615 3.427 5.386
```

Summary:
The calculation puts the formation enthalpy at 0 K at 17 kJ per mole of atoms. The calculation puts the density of states at the Fermi level at 1.569 states/eV per atom. For the total DFT energy (no corrections), the calculation gives -4.647 eV/atom. As for the crystal system: triclinic. Its relative energy among the computed polymorphs is 0 meV/atom. Its symmetry is No. 2.

Volume across the listed records, respectively: 274.2 527.9 Å³ per cell.